# 1
Entry from Alexandria via LeMat-Bulk: a crystal of Be2ZnCd relaxed with PBEsol (SCAN).

Values from the calculation:
V: 13.59 Å³/atom
calculated density: 6.0 Mg/m³
ΔE to the lowest computed polymorph: 11.2 meV/atom
E_tot: -12.761 eV per atom
energy of formation: 154 kJ/mol of formula units

Cell lengths 2.6677, 4.1113, 4.9562 Å; angles 90.00, 90.00, 90.00 degrees
Last column: nearest neighbours and their distance in Å.
Sites, in units of the cell vectors:
1 Zn 0.0000 0.5000 0.5000  4 Be 2.45, 2 Zn 2.67
2 Cd 0.5000 0.5000 0.0000  4 Be 2.45, 2 Cd 2.67
3 Be 0.0000 0.0000 0.0000  4 Cd 2.45, 2 Be 2.67
4 Be 0.5000 0.0000 0.5000  4 Zn 2.45, 2 Be 2.67


# 2
Entry from Alexandria via LeMat-Bulk: a crystal of BeZnCd2 relaxed with PBEsol (SCAN).

Values from the calculation:
V: 16.16 Å³/atom
calculated density: 7.7 Mg/m³
E_tot: -19.368 eV per atom
energy of formation: 118 kJ/mol of formula units

Cell lengths 3.9873, 3.9873, 4.9479 Å; angles 113.76, 113.76, 90.00 degrees
Last column: nearest neighbours and their distance in Å.
Sites, in units of the cell vectors:
1 Cd 0.7500 0.2500 0.5000  4 Be 2.82, 4 Zn 2.85, 4 Cd 2.85
2 Zn 0.5000 0.5000 0.0000  8 Cd 2.82-2.85, 4 Be 2.85
3 Cd 0.0000 0.0000 0.0000  4 Zn 2.82, 4 Cd 2.85, 4 Be 2.85
4 Be 0.2500 0.7500 0.5000  8 Cd 2.82-2.85, 4 Zn 2.85


# 3
Entry from Alexandria via LeMat-Bulk: a crystal of ZrBeCd4 relaxed with PBEsol (SCAN).

Values from the calculation:
V: 19.94 Å³/atom
calculated density: 7.6 Mg/m³
E_tot: -25.704 eV per atom
energy of formation: 240 kJ/mol of formula units

Cell lengths 5.5305, 5.5305, 5.5305 Å; angles 60.00, 60.00, 60.00 degrees
Last column: nearest neighbours and their distance in Å.
Sites, in units of the cell vectors:
1 Be 0.0000 0.0000 0.0000  12 Cd 3.24, 4 Zr 3.39
2 Cd 0.3753 0.3753 0.8742  6 Cd 2.76-2.77
3 Cd 0.8742 0.3753 0.3753  6 Cd 2.76-2.77
4 Cd 0.3753 0.3753 0.3753  6 Cd 2.76-2.77
5 Zr 0.7500 0.7500 0.7500  12 Cd 3.24, 4 Be 3.39
6 Cd 0.3753 0.8742 0.3753  6 Cd 2.76-2.77


# 4
Entry from Alexandria via LeMat-Bulk: a crystal of ZrBeCd2 relaxed with PBEsol (SCAN).

Values from the calculation:
V: 17.58 Å³/atom
calculated density: 7.7 Mg/m³
E_tot: -23.861 eV per atom
energy of formation: 42 kJ/mol of formula units

Cell lengths 4.6330, 4.6330, 4.6330 Å; angles 60.00, 60.00, 60.00 degrees
Last column: nearest neighbours and their distance in Å.
Sites, in units of the cell vectors:
1 Cd 0.0000 0.0000 0.0000  4 Be 2.84, 4 Cd 2.84
2 Zr 0.5000 0.5000 0.5000  4 Cd 2.84, 4 Be 2.84
3 Cd 0.7500 0.7500 0.7500  4 Zr 2.84, 4 Cd 2.84
4 Be 0.2500 0.2500 0.2500  4 Cd 2.84, 4 Zr 2.84


# 5
Entry from Alexandria via LeMat-Bulk: a crystal of ZrBeCd2 relaxed with PBEsol (SCAN).

Values from the calculation:
V: 18.34 Å³/atom
calculated density: 7.4 Mg/m³
E_tot: -23.763 eV per atom
energy of formation: 80 kJ/mol of formula units

Cell lengths 2.8002, 5.1244, 5.4120 Å; angles 109.13, 90.00, 90.00 degrees
Last column: nearest neighbours and their distance in Å.
Sites, in units of the cell vectors:
1 Be 0.0000 0.5000 0.5000  2 Be 2.80, 4 Zr 2.92, 6 Cd 3.05-3.06
2 Zr 0.5000 0.0000 0.5000  2 Zr 2.80, 4 Be 2.92, 6 Cd 3.05-3.06
3 Cd 0.5000 0.5000 0.0000  6 Cd 2.80-2.92, 4 Be 3.05, 2 Zr 3.06
4 Cd 0.0000 0.0000 0.0000  6 Cd 2.80-2.92, 4 Zr 3.05, 2 Be 3.06


# 6
Entry from Alexandria via LeMat-Bulk: a crystal of Zr2BeCd relaxed with PBEsol (SCAN).

Values from the calculation:
V: 17.87 Å³/atom
calculated density: 7.1 Mg/m³
ΔE to the lowest computed polymorph: 0.0 meV/atom
E_tot: -24.165 eV per atom
energy of formation: -48 kJ/mol of formula units

Cell lengths 3.0046, 3.0046, 7.9191 Å; angles 90.00, 90.00, 90.00 degrees
Last column: nearest neighbours and their distance in Å.
Sites, in units of the cell vectors:
1 Zr 0.0000 0.0000 0.2137  4 Be 2.72, 4 Zr 3.00
2 Be 0.5000 0.5000 0.0000  8 Zr 2.72, 4 Be 3.00
3 Zr 0.0000 0.0000 0.7863  4 Be 2.72, 4 Zr 3.00
4 Cd 0.5000 0.5000 0.5000  4 Cd 3.00, 8 Zr 3.11